# 1
Material: HgSbAu2
Method: DFT, GGA-PBE
State: relaxed

Cell and atoms, written as extended XYZ:
```
4
Lattice="6.9005 0.3913 -0.2397 4.4321 5.3034 0.2397 -5.1835 -3.8080 2.5410" Properties=species:S:1:pos:R:3 pbc="T T T"
Au 1.8544 1.8683 1.3904
Hg 6.1045 3.0675 0.0000
Au 11.0730 5.5642 0.0000
Sb 4.1160 -0.0715 1.1507
```

## Properties
E_tot (eV/cell): -10.7
Energy relative to the lowest polymorph listed for this composition (eV/atom): 0.048
Magnetic moment (μB/f.u.): 0.0
Uncorrected formation energy (eV/atom): 0.071

---

# 2
Material: TlReI3
Method: DFT, GGA-PBE
State: relaxed

Cell and atoms, written as extended XYZ:
```
5
Lattice="-4.3287 4.2768 -0.6037 -1.9438 -1.1656 5.6795 3.8572 4.2123 2.1846" Properties=species:S:1:pos:R:3 pbc="T T T"
I -2.1644 2.1384 -0.3019
Tl 0.0000 0.0000 0.0000
Re -1.2077 3.6618 3.6302
I 1.9286 2.1062 1.0923
I -0.9719 -0.5828 2.8398
```

## Properties
E_tot (eV/cell): -13.7
Energy relative to the lowest polymorph listed for this composition (eV/atom): 0.798
Magnetic moment (μB/f.u.): 5.9
Uncorrected formation energy (eV/atom): 1.161

---

# 3
Material: Cd2GeN
Method: DFT, GGA-PBE
State: relaxed

Cell and atoms, written as extended XYZ:
```
4
Lattice="-0.8311 -4.1210 -1.9881 -2.9967 -2.9659 1.9618 -4.1105 -0.8239 -2.0127" Properties=species:S:1:pos:R:3 pbc="T T T"
Ge -3.9691 -3.9554 -1.0195
Cd -5.9537 -5.9331 -1.5292
Cd -1.9846 -1.9777 -0.5097
N 0.0000 0.0000 0.0000
```

## Properties
E_tot (eV/cell): -10.4
Energy relative to the lowest polymorph listed for this composition (eV/atom): 0.457
Magnetic moment (μB/f.u.): 0.8
Uncorrected formation energy (eV/atom): 1.095

---

# 4
Material: ZrTaAsAu2
Method: DFT, GGA-PBE
State: relaxed

Cell and atoms, written as extended XYZ:
```
5
Lattice="4.7361 0.0000 0.0000 0.0000 4.9996 0.0000 0.0000 0.0000 4.7361" Properties=species:S:1:pos:R:3 pbc="T T T"
Au 0.0000 0.0000 2.3681
Ta 2.3681 2.4998 2.3681
As 0.0000 0.0000 0.0000
Au 2.3681 0.0000 0.0000
Zr 0.0000 2.4998 0.0000
```

## Properties
E_tot (eV/cell): -27.7
Energy of formation (meV/atom): 775.4
Magnetic moment (μB/f.u.): 0.0

---

# 5
Material: TaSb2Os
Method: DFT, GGA-PBE
State: relaxed

Cell and atoms, written as extended XYZ:
```
4
Lattice="0.0000 3.3429 3.3429 3.3429 0.0000 3.3429 3.3429 3.3429 0.0000" Properties=species:S:1:pos:R:3 pbc="T T T"
Sb 1.6714 1.6714 1.6714
Ta 0.0000 0.0000 0.0000
Sb 5.0143 5.0143 5.0143
Os 3.3429 3.3429 3.3429
```

## Properties
E_tot (eV/cell): -29.6
Energy relative to the lowest polymorph listed for this composition (eV/atom): 0.414
Magnetic moment (μB/f.u.): 0.0
Uncorrected formation energy (eV/atom): 0.442

---

# 6
Material: LaTe2WI
Method: DFT, GGA-PBE
State: relaxed

Cell and atoms, written as extended XYZ:
```
5
Lattice="6.1974 0.0000 0.0000 0.0000 6.1974 0.0000 0.0000 0.0000 6.0611" Properties=species:S:1:pos:R:3 pbc="T T T"
W 3.0987 3.0987 3.0306
Te 0.0000 3.0987 0.0000
Te 3.0987 0.0000 0.0000
I 0.0000 0.0000 3.0306
La 0.0000 0.0000 0.0000
```

## Properties
E_tot (eV/cell): -21.4
Magnetic moment (μB/f.u.): 4.1
Uncorrected formation energy (eV/atom): 0.869